Record 1
Density functional theory data (PBE-GGA) for an optimized crystal structure of Mg2TlW.

Calculated values
Space group: F-43m
Calculated formation energy in eV per atom: 0.76
M_tot in Bohr magnetons per cell: 1.99

Cell lengths 4.846, 4.846, 4.846 Å; angles 60.00, 60.00, 60.00 degrees
Site moments in Bohr magnetons follow the coordinates.
Fractional positions:
Mg (0.000, 0.000, 0.000)  -0.01
Mg (0.250, 0.250, 0.250)  -0.01
Tl (0.500, 0.500, 0.500)  -0.01
W (0.750, 0.750, 0.750)  1.54



Record 2
Density functional theory data (PBE-GGA) for an optimized crystal structure of MgTl2W.

Calculated values
Space group: Immm
Calculated formation energy in eV per atom: 0.78
M_tot in Bohr magnetons per cell: 0.00

Cell lengths 5.977, 5.977, 5.977 Å; angles 149.85, 124.86, 64.13 degrees
Fractional positions:
Mg (0.250, 0.750, 0.500)
Tl (0.993, 0.993, 0.000)
Tl (0.507, 0.507, 0.000)
W (0.750, 0.250, 0.500)